Computed, not measured: a geometry-optimized FeNiAu2 structure at the PBE-GGA level of DFT.

Unit cell a=4.4150 b=4.4150 c=4.4150 alpha=60.00 beta=60.00 gamma=60.00
Element x y z (fractional)
Au1 0.0000 0.0000 0.0000
Au2 0.2500 0.2500 0.2500
Fe1 0.5000 0.5000 0.5000
Ni1 0.7500 0.7500 0.7500

Properties
E_tot: -20.027 eV per cell
DFT formation energy: 0.193 eV/atom
N(E_F): 3.75 states/eV/cell
energy above the most stable polymorph in this dataset: 129 meV/atom
symmetry: F-43m (216)

Computed, not measured: a geometry-optimized CePm3Se6 structure at the PBE-GGA level of DFT.

Unit cell a=4.2272 b=11.8261 c=12.1382 alpha=108.69 beta=90.00 gamma=90.00
Element x y z (fractional)
Se1 0.7500 0.8094 0.7495
Se2 0.7500 0.1132 0.4633
Se3 0.2500 0.8868 0.5367
Se4 0.2500 0.0839 0.9007
Se5 0.2500 0.2539 0.7235
Se6 0.7500 0.3970 0.0629
Se7 0.7500 0.9161 0.0993
Se8 0.7500 0.4816 0.6148
Se9 0.2500 0.6030 0.9371
Se10 0.2500 0.5184 0.3852
Se11 0.7500 0.7461 0.2765
Se12 0.2500 0.1906 0.2505
Pm1 0.2500 0.5672 0.1678
Pm2 0.7500 0.4328 0.8322
Pm3 0.2500 0.3187 0.4984
Pm4 0.2500 0.8410 0.9167
Pm5 0.7500 0.1590 0.0833
Pm6 0.7500 0.6813 0.5016
Ce1 0.7500 0.0449 0.6913
Ce2 0.2500 0.9551 0.3087

Properties
E_tot: -119.402 eV per cell
energy relative to the elements, uncorrected: -1.86 eV/atom
N(E_F): 14.24 states/eV/cell
energy above the most stable polymorph in this dataset: 0 meV/atom
symmetry: P2_1/m (11)

Computed, not measured: a geometry-optimized TbTlTe structure at the PBE-GGA level of DFT.

Unit cell a=4.4018 b=4.4036 c=18.0789 alpha=90.00 beta=90.00 gamma=90.00
Element x y z (fractional)
Te1 0.2505 0.7500 0.6760
Te2 0.7495 0.2500 0.3240
Te3 0.2495 0.7500 0.1759
Te4 0.7505 0.2500 0.8241
Tl1 0.2500 0.2500 0.4998
Tl2 0.7500 0.7500 0.5002
Tl3 0.7500 0.7500 0.0001
Tl4 0.2500 0.2500 0.9998
Tb1 0.7505 0.2500 0.6497
Tb2 0.2495 0.7500 0.3503
Tb3 0.7495 0.2500 0.1496
Tb4 0.2505 0.7500 0.8504

Properties
E_tot: -49.971 eV per cell
energy relative to the elements, uncorrected: -0.78 eV/atom
N(E_F): 10.39 states/eV/cell
symmetry: P4/nmm (129)

Computed, not measured: a geometry-optimized Tl2NiPb structure at the PBE-GGA level of DFT.

Unit cell a=5.7850 b=5.7850 c=5.7850 alpha=133.78 beta=133.78 gamma=67.43
Element x y z (fractional)
Ni1 0.2500 0.7500 0.5000
Tl1 0.5000 0.5000 0.0000
Tl2 0.0000 0.0000 0.0000
Pb1 0.7500 0.2500 0.5000

Properties
E_tot: -12.520 eV per cell
DFT formation energy: 0.426 eV/atom
N(E_F): 3.64 states/eV/cell
energy above the most stable polymorph in this dataset: 270 meV/atom
symmetry: I4/mmm (139)

Computed, not measured: a geometry-optimized ZnSbN2 structure at the PBE-GGA level of DFT.

Unit cell a=4.0662 b=4.0662 c=4.0662 alpha=60.00 beta=60.00 gamma=60.00
Element x y z (fractional)
Zn1 0.0000 0.0000 0.0000
Sb1 0.5000 0.5000 0.5000
N1 0.2500 0.2500 0.2500
N2 0.7500 0.7500 0.7500

Properties
E_tot: -16.882 eV per cell
energy relative to the elements, uncorrected: 1.29 eV/atom
N(E_F): 2.90 states/eV/cell
energy above the most stable polymorph in this dataset: 892 meV/atom
symmetry: Fm-3m (225)

Computed, not measured: a geometry-optimized CaTlAg structure at the PBE-GGA level of DFT.

Unit cell a=4.5868 b=5.4084 c=6.8247 alpha=95.71 beta=109.64 gamma=90.00
Element x y z (fractional)
Ag1 0.2279 0.8239 0.4559
Ag2 0.7721 0.1761 0.5441
Tl1 0.4160 0.2268 0.8320
Tl2 0.5840 0.7732 0.1680
Ca1 0.1113 0.2908 0.2226
Ca2 0.8887 0.7092 0.7774

Properties
E_tot: -15.970 eV per cell
DFT formation energy: -0.255 eV/atom
N(E_F): 2.79 states/eV/cell
symmetry: C2/m (12)

Computed, not measured: a geometry-optimized ZnIn12Pb6 structure at the PBE-GGA level of DFT.

Unit cell a=8.5148 b=8.5148 c=8.5148 alpha=103.63 beta=103.63 gamma=103.63
Element x y z (fractional)
In1 0.5225 0.1919 0.6173
In2 0.4775 0.8081 0.3827
In3 0.1974 0.7399 0.9187
In4 0.7399 0.9187 0.1974
In5 0.1919 0.6173 0.5225
In6 0.0813 0.8026 0.2601
In7 0.9187 0.1974 0.7399
In8 0.6173 0.5225 0.1919
In9 0.2601 0.0813 0.8026
In10 0.8081 0.3827 0.4775
In11 0.3827 0.4775 0.8081
In12 0.8026 0.2601 0.0813
Pb1 0.5794 0.8811 0.7898
Pb2 0.2102 0.4206 0.1189
Pb3 0.4206 0.1189 0.2102
Pb4 0.8811 0.7898 0.5794
Pb5 0.7898 0.5794 0.8811
Pb6 0.1189 0.2102 0.4206
Zn1 0.0000 0.0000 0.0000

Properties
E_tot: -55.063 eV per cell
DFT formation energy: 0.070 eV/atom
N(E_F): 8.50 states/eV/cell
symmetry: R-3 (148)

Computed, not measured: a geometry-optimized BaNaHAu structure at the PBE-GGA level of DFT.

Unit cell a=5.2891 b=5.2891 c=5.2891 alpha=60.00 beta=60.00 gamma=60.00
Element x y z (fractional)
H1 0.0000 0.0000 0.0000
Au1 0.5000 0.5000 0.5000
Na1 0.2500 0.2500 0.2500
Ba1 0.7500 0.7500 0.7500

Properties
E_tot: -10.944 eV per cell
N(E_F): 1.21 states/eV/cell
symmetry: F-43m (216)

Repeat the first record exactly.
Computed, not measured: a geometry-optimized FeNiAu2 structure at the PBE-GGA level of DFT.

Unit cell a=4.4150 b=4.4150 c=4.4150 alpha=60.00 beta=60.00 gamma=60.00
Element x y z (fractional)
Au1 0.0000 0.0000 0.0000
Au2 0.2500 0.2500 0.2500
Fe1 0.5000 0.5000 0.5000
Ni1 0.7500 0.7500 0.7500

Properties
E_tot: -20.027 eV per cell
DFT formation energy: 0.193 eV/atom
N(E_F): 3.75 states/eV/cell
energy above the most stable polymorph in this dataset: 129 meV/atom
symmetry: F-43m (216)